No. 1
A plane-wave DFT calculation with GGA-PBE was carried out for a relaxed structure of PrHfGe.

Cell: 8.717 8.717 8.717 Å, 151.75 151.75 40.38°
Element x y z (fractional)
Pr (0.177, 0.177, 0.000)
Pr (0.823, 0.823, 0.000)
Hf (0.000, 0.500, 0.500)
Hf (0.500, 0.000, 0.500)
Ge (0.380, 0.380, 0.000)
Ge (0.620, 0.620, 0.000)

Results
Its space-group type is I4/mmm (139). The total DFT energy (no corrections) comes out at -7.042 eV/atom. Its formation energy is -0.59 eV/atom. The crystal system is tetragonal.

---

No. 2
A plane-wave DFT calculation with GGA-PBE was carried out for a relaxed structure of LiCa3.

Cell: 11.562 11.562 11.562 Å, 153.86 153.86 37.30°
Element x y z (fractional)
Li (0.128, 0.128, 0.000)
Li (0.872, 0.872, 0.000)
Ca (0.000, 0.500, 0.500)
Ca (0.250, 0.750, 0.500)
Ca (0.377, 0.377, 0.000)
Ca (0.500, 0.000, 0.500)
Ca (0.623, 0.623, 0.000)
Ca (0.750, 0.250, 0.500)

Results
Its space-group type is I4/mmm (139). The total DFT energy (no corrections) comes out at -1.911 eV/atom. Its formation energy is 0.07 eV/atom. The crystal system is tetragonal.